Run one
# RbTlPd3 | the Alexandria database | PBE | relaxed
data_RbTlPd3
_chemical_formula_sum 'Rb1 Tl1 Pd3'
_cell_length_a 5.227
_cell_length_b 5.227
_cell_length_c 5.227
_cell_angle_alpha 90.00
_cell_angle_beta 90.00
_cell_angle_gamma 90.00
_symmetry_space_group_name_H-M 'P m -3 m'
_symmetry_Int_Tables_number 221
_symmetry_space_group_name_Hall '-P 4 2 3'
loop_
_atom_site_label
_atom_site_type_symbol
_atom_site_fract_x
_atom_site_fract_y
_atom_site_fract_z
Rb1 Rb 0.000 0.000 0.000
Tl1 Tl 0.500 0.500 0.500
Pd1 Pd 0.000 0.500 0.500
# M_tot (μB/f.u.): 0.0
# ρ (g/cm³): 7.1

Run two
# RbTlPd3 | the Alexandria database | PBE | relaxed
data_RbTlPd3
_chemical_formula_sum 'Rb1 Tl1 Pd3'
_cell_length_a 5.243
_cell_length_b 5.243
_cell_length_c 5.243
_cell_angle_alpha 90.00
_cell_angle_beta 90.00
_cell_angle_gamma 90.00
_symmetry_space_group_name_H-M 'P m -3 m'
_symmetry_Int_Tables_number 221
_symmetry_space_group_name_Hall '-P 4 2 3'
loop_
_atom_site_label
_atom_site_type_symbol
_atom_site_fract_x
_atom_site_fract_y
_atom_site_fract_z
Rb1 Rb 0.000 0.000 0.000
Tl1 Tl 0.500 0.500 0.500
Pd1 Pd 0.000 0.000 0.500
# M_tot (μB/f.u.): 0.0
# ρ (g/cm³): 7.0

run one wins, 74.3 kJ/mol of atoms ahead of the next structure.

Run one
# Rb2TlPd | the Alexandria database | PBE | relaxed
data_Rb2TlPd
_chemical_formula_sum 'Rb4 Tl2 Pd2'
_cell_length_a 8.316
_cell_length_b 4.787
_cell_length_c 9.764
_cell_angle_alpha 90.00
_cell_angle_beta 106.12
_cell_angle_gamma 90.00
_symmetry_space_group_name_H-M 'C 1 m 1'
_symmetry_Int_Tables_number 8
_symmetry_space_group_name_Hall 'C -2y'
loop_
_atom_site_label
_atom_site_type_symbol
_atom_site_fract_x
_atom_site_fract_y
_atom_site_fract_z
Rb1 Rb 0.000 0.000 0.000
Rb2 Rb 0.173 0.000 0.533
Tl1 Tl 0.253 0.500 0.267
Pd1 Pd 0.420 0.000 0.266
# M_tot (μB/f.u.): 0.0
# ρ (g/cm³): 4.3

Run two
# Rb2TlPd | the Alexandria database | PBE | relaxed
data_Rb2TlPd
_chemical_formula_sum 'Rb8 Tl4 Pd4'
_cell_length_a 8.447
_cell_length_b 8.447
_cell_length_c 8.447
_cell_angle_alpha 90.00
_cell_angle_beta 90.00
_cell_angle_gamma 90.00
_symmetry_space_group_name_H-M 'F m -3 m'
_symmetry_Int_Tables_number 225
_symmetry_space_group_name_Hall '-F 4 2 3'
loop_
_atom_site_label
_atom_site_type_symbol
_atom_site_fract_x
_atom_site_fract_y
_atom_site_fract_z
Rb1 Rb 0.250 0.250 0.250
Tl1 Tl 0.000 0.000 0.000
Pd1 Pd 0.000 0.000 0.500
# M_tot (μB/f.u.): 0.0
# ρ (g/cm³): 5.3

run one wins, 32.8 kJ/mol of atoms ahead of the next structure.

Run one
# Rb3Tl3Pd2 | the Alexandria database | PBE | relaxed
data_Rb3Tl3Pd2
_chemical_formula_sum 'Rb12 Tl12 Pd8'
_cell_length_a 5.013
_cell_length_b 13.154
_cell_length_c 16.979
_cell_angle_alpha 90.00
_cell_angle_beta 90.00
_cell_angle_gamma 90.00
_symmetry_space_group_name_H-M 'C m c m'
_symmetry_Int_Tables_number 63
_symmetry_space_group_name_Hall '-C 2c 2'
loop_
_atom_site_label
_atom_site_type_symbol
_atom_site_fract_x
_atom_site_fract_y
_atom_site_fract_z
Rb1 Rb 0.000 0.065 0.106
Rb2 Rb 0.000 0.389 0.250
Tl1 Tl 0.000 0.311 0.750
Tl2 Tl 0.000 0.337 0.038
Pd1 Pd 0.000 0.218 0.604
# M_tot (μB/f.u.): 0.0
# ρ (g/cm³): 6.4

Run two
# Rb3Tl3Pd2 | the Alexandria database | PBE | relaxed
data_Rb3Tl3Pd2
_chemical_formula_sum 'Rb12 Tl12 Pd8'
_cell_length_a 9.364
_cell_length_b 16.956
_cell_length_c 6.913
_cell_angle_alpha 90.00
_cell_angle_beta 90.00
_cell_angle_gamma 90.00
_symmetry_space_group_name_H-M 'P n m a'
_symmetry_Int_Tables_number 62
_symmetry_space_group_name_Hall '-P 2ac 2n'
loop_
_atom_site_label
_atom_site_type_symbol
_atom_site_fract_x
_atom_site_fract_y
_atom_site_fract_z
Rb1 Rb 0.040 0.110 0.106
Rb2 Rb 0.218 0.250 0.574
Tl1 Tl 0.147 0.750 0.539
Tl2 Tl 0.167 0.039 0.616
Pd1 Pd 0.121 0.596 0.385
# M_tot (μB/f.u.): 0.0
# ρ (g/cm³): 6.6

run one wins, 2.1 kJ/mol of atoms ahead of the next structure.